[1]
# MgOsW4 (PBE, optimized geometry)
data_MgOsW4
_symmetry_space_group_name_H-M 'F -4 3 m'
_symmetry_Int_Tables_number 216
_symmetry_space_group_name_Hall 'F -4 2 3'
_cell_length_a 7.423
_cell_length_b 7.423
_cell_length_c 7.423
_cell_angle_alpha 90.00
_cell_angle_beta 90.00
_cell_angle_gamma 90.00
loop_
_atom_site_label
_atom_site_type_symbol
_atom_site_fract_x
_atom_site_fract_y
_atom_site_fract_z
Mg1 Mg 0.000 0.000 0.000
Os1 Os 0.250 0.250 0.750
W1 W 0.126 0.126 0.374
# Final energy   -246.264 eV for the cell shown
# Crystal system   cubic
# Total magnetic moment   0.00 μB per atom

---

[2]
# TbNd2Dy2Tm2 (PBE, optimized geometry)
data_TbNd2Dy2Tm2
_symmetry_space_group_name_H-M 'C 1 2/m 1'
_symmetry_Int_Tables_number 12
_cell_length_a 11.688
_cell_length_b 3.514
_cell_length_c 11.817
_cell_angle_alpha 90.00
_cell_angle_beta 109.32
_cell_angle_gamma 90.00
loop_
_symmetry_equiv_pos_as_xyz
'x,y,z'
'-x,-y,-z'
'-x,y,-z'
'x,-y,z'
'x+1/2,y+1/2,z'
'-x+1/2,-y+1/2,-z'
'-x+1/2,y+1/2,-z'
'x+1/2,-y+1/2,z'
loop_
_atom_site_label
_atom_site_type_symbol
_atom_site_fract_x
_atom_site_fract_y
_atom_site_fract_z
Tb1 Tb 0.000 0.000 0.000
Nd1 Nd 0.170 0.500 0.584
Dy1 Dy 0.050 0.500 0.268
Tm1 Tm 0.226 0.000 0.865
# Final energy   -63.428 eV for the cell shown
# Crystal system   monoclinic
# Total magnetic moment   0.00 μB per atom

---

[3]
# NpMnInBr6 (PBE, optimized geometry)
data_NpMnInBr6
_symmetry_space_group_name_H-M 'P -3 1 c'
_symmetry_Int_Tables_number 163
_symmetry_space_group_name_Hall '-P 3 2c'
_cell_length_a 7.2781
_cell_length_b 7.2781
_cell_length_c 14.3117
_cell_angle_alpha 90.00
_cell_angle_beta 90.00
_cell_angle_gamma 120.00
loop_
_atom_site_label
_atom_site_type_symbol
_atom_site_fract_x
_atom_site_fract_y
_atom_site_fract_z
Np1 Np 0.3333 0.6667 0.2500
Mn1 Mn 0.3333 0.6667 0.7500
In1 In 0.0000 0.0000 0.0000
Br1 Br 0.0204 0.3770 0.6395
# Final energy   -87.492 eV for the cell shown
# E_form (uncorrected)   -8.86 eV per formula unit
# Crystal system   trigonal
# Total magnetic moment   1.00 μB per atom

---

[4]
# Ca2MgTlCu (PBE, optimized geometry)
data_Ca2MgTlCu
_symmetry_space_group_name_H-M 'P 4/m m m'
_symmetry_Int_Tables_number 123
_symmetry_space_group_name_Hall '-P 4 2'
_cell_length_a 5.568
_cell_length_b 5.568
_cell_length_c 4.881
_cell_angle_alpha 90.00
_cell_angle_beta 90.00
_cell_angle_gamma 90.00
loop_
_atom_site_label
_atom_site_type_symbol
_atom_site_fract_x
_atom_site_fract_y
_atom_site_fract_z
Ca1 Ca 0.000 0.500 0.000
Mg1 Mg 0.000 0.000 0.500
Tl1 Tl 0.500 0.500 0.500
Cu1 Cu 0.000 0.000 0.000
# Final energy   -12.345 eV for the cell shown
# Crystal system   tetragonal
# Total magnetic moment   0.00 μB per atom

---

Q: Which of these has the highest final energy?
A: Ca2MgTlCu